Record 1
The following is a DFT calculation (PBE) of crystalline Tb4Zn3Co at its relaxed geometry.

Unit cell a=3.5101 b=3.5101 c=14.2755 alpha=90.00 beta=90.00 gamma=90.00
With the nearest neighbours (Å) after each atom.
Element x y z (fractional)
Co1 0.5000 0.5000 0.0000  8 Tb 2.96
Zn1 0.5000 0.5000 0.2450  8 Tb 3.07-3.11
Zn2 0.5000 0.5000 0.5000  8 Tb 3.08
Zn3 0.5000 0.5000 0.7550  8 Tb 3.07-3.11
Tb1 0.0000 0.0000 0.8867  4 Co 2.96, 4 Zn 3.11, 1 Tb 3.24
Tb2 0.0000 0.0000 0.1133  4 Co 2.96, 4 Zn 3.11, 1 Tb 3.24
Tb3 0.0000 0.0000 0.3721  8 Zn 3.07-3.08
Tb4 0.0000 0.0000 0.6279  8 Zn 3.07-3.08

* Fermi-level density of states: 7.12 states/eV per cell
* energy of formation: -288 meV/atom
* space group: P4/mmm, No. 123
* total energy: -31.75 eV per cell

***

Record 2
The following is a DFT calculation (PBE) of crystalline YNi2PH at its relaxed geometry.

Unit cell a=3.7140 b=5.3335 c=6.6238 alpha=90.00 beta=90.00 gamma=110.38
With the nearest neighbours (Å) after each atom.
Element x y z (fractional)
Y1 0.4421 0.8842 0.7500  4 H 2.55, 1 P 2.82
Y2 0.5579 0.1158 0.2500  4 H 2.55, 1 P 2.82
Ni1 0.1661 0.3321 0.9408  1 H 1.71
Ni2 0.8339 0.6679 0.0592  1 H 1.71
Ni3 0.1661 0.3321 0.5592  1 H 1.71
Ni4 0.8339 0.6679 0.4408  1 H 1.71
P1 0.7244 0.4488 0.7500  6 Ni 2.32
P2 0.2756 0.5512 0.2500  6 Ni 2.32
H1 0.0000 0.0000 0.0000  2 Ni 1.71
H2 0.0000 0.0000 0.5000  2 Ni 1.71

* Fermi-level density of states: 4.26 states/eV per cell
* space group: Cmcm, No. 63
* total energy: -61.84 eV per cell

***

Record 3
The following is a DFT calculation (PBE) of crystalline Ba2Ga2Ag15 at its relaxed geometry.

Unit cell a=7.4522 b=7.4522 c=7.4522 alpha=83.08 beta=83.08 gamma=83.08
With the nearest neighbours (Å) after each atom.
Element x y z (fractional)
Ba1 0.3411 0.3411 0.3411  18 Ag 3.46-3.80, 1 Ga 3.60
Ba2 0.6589 0.6589 0.6589  18 Ag 3.46-3.80, 1 Ga 3.60
Ga1 0.0908 0.0908 0.0908  1 Ga 2.61
Ga2 0.9092 0.9092 0.9092  1 Ga 2.61
Ag1 0.5000 0.0000 0.0000  8 Ag 2.83-2.84, 2 Ga 3.05
Ag2 0.0000 0.0000 0.5000  8 Ag 2.83-2.84, 2 Ga 3.05
Ag3 0.0000 0.5000 0.0000  8 Ag 2.83-2.84, 2 Ga 3.05
Ag4 0.0000 0.6985 0.3015  8 Ag 2.83-2.98
Ag5 0.6985 0.3015 0.0000  8 Ag 2.83-2.98
Ag6 0.3015 0.0000 0.6985  8 Ag 2.83-2.98
Ag7 0.3015 0.6985 0.0000  8 Ag 2.83-2.98
Ag8 0.6985 0.0000 0.3015  8 Ag 2.83-2.98
Ag9 0.0000 0.3015 0.6985  8 Ag 2.83-2.98
Ag10 0.1525 0.6574 0.6574  8 Ag 2.84-2.98, 1 Ga 3.09
Ag11 0.6574 0.6574 0.1525  8 Ag 2.84-2.98, 1 Ga 3.09
Ag12 0.6574 0.1525 0.6574  8 Ag 2.84-2.98, 1 Ga 3.09
Ag13 0.8475 0.3426 0.3426  8 Ag 2.84-2.98, 1 Ga 3.09
Ag14 0.3426 0.3426 0.8475  8 Ag 2.84-2.98, 1 Ga 3.09
Ag15 0.3426 0.8475 0.3426  8 Ag 2.84-2.98, 1 Ga 3.09

* Fermi-level density of states: 8.39 states/eV per cell
* energy of formation: -87 meV/atom
* space group: R-3m, No. 166
* total energy: -54.31 eV per cell

***

Record 4
The following is a DFT calculation (PBE) of crystalline LaErTaN3 at its relaxed geometry.

Unit cell a=3.4599 b=7.4710 c=8.1056 alpha=93.48 beta=90.00 gamma=90.00
With the nearest neighbours (Å) after each atom.
Element x y z (fractional)
La1 0.7500 0.8383 0.8289  2 N 2.49
La2 0.2500 0.1617 0.1711  2 N 2.49
Er1 0.2500 0.6146 0.1465  3 N 2.19-2.40
Er2 0.7500 0.3854 0.8535  3 N 2.19-2.40
Ta1 0.2500 0.1251 0.5801  4 N 1.99-2.18
Ta2 0.7500 0.8749 0.4199  4 N 1.99-2.18
N1 0.2500 0.8338 0.5473  3 Ta 2.05-2.18
N2 0.7500 0.8475 0.1741  1 Ta 1.99
N3 0.7500 0.3919 0.1240  3 Er 2.19-2.40
N4 0.7500 0.1662 0.4527  3 Ta 2.05-2.18
N5 0.2500 0.6081 0.8760  3 Er 2.19-2.40
N6 0.2500 0.1525 0.8259  1 Ta 1.99

* Fermi-level density of states: 4.91 states/eV per cell
* space group: P2_1/m, No. 11
* total energy: -106.22 eV per cell

***

Record 5
The following is a DFT calculation (PBE) of crystalline Pm3Cd9Ga2 at its relaxed geometry.

Unit cell a=4.7725 b=8.8078 c=8.8078 alpha=73.71 beta=74.28 gamma=74.28
With the nearest neighbours (Å) after each atom.
Element x y z (fractional)
Pm1 0.0000 0.0000 0.0000  12 Cd 3.38-3.51
Pm2 0.6969 0.3031 0.3031  2 Ga 3.21, 10 Cd 3.41-3.54
Pm3 0.3031 0.6969 0.6969  2 Ga 3.21, 10 Cd 3.41-3.54
Cd1 0.0000 0.5000 0.5000  4 Cd 2.99, 4 Ga 3.03
Cd2 0.6471 0.9848 0.7210  4 Cd 2.79-2.94, 1 Ga 2.80
Cd3 0.3529 0.0152 0.2790  4 Cd 2.79-2.94, 1 Ga 2.80
Cd4 0.6471 0.7210 0.9848  4 Cd 2.79-2.94, 1 Ga 2.80
Cd5 0.3529 0.2790 0.0152  4 Cd 2.79-2.94, 1 Ga 2.80
Cd6 0.8578 0.8619 0.4225  4 Cd 2.86-2.99, 2 Ga 3.07
Cd7 0.1422 0.1381 0.5775  4 Cd 2.86-2.99, 2 Ga 3.07
Cd8 0.8578 0.4225 0.8619  4 Cd 2.86-2.99, 2 Ga 3.07
Cd9 0.1422 0.5775 0.1381  4 Cd 2.86-2.99, 2 Ga 3.07
Ga1 0.5000 0.3226 0.6774  8 Cd 2.80-3.07
Ga2 0.5000 0.6774 0.3226  8 Cd 2.80-3.07

* Fermi-level density of states: 9.87 states/eV per cell
* energy of formation: -269 meV/atom
* space group: Immm, No. 71
* total energy: -32.31 eV per cell

***

Record 6
The following is a DFT calculation (PBE) of crystalline AcLa5Sn3 at its relaxed geometry.

Unit cell a=9.0939 b=9.0939 c=9.7262 alpha=117.87 beta=117.87 gamma=90.00
With the nearest neighbours (Å) after each atom.
Element x y z (fractional)
Ac1 0.7500 0.2500 0.5000  4 La 3.17
Ac2 0.2500 0.7500 0.5000  4 La 3.17
La1 0.0747 0.5747 0.7332  1 Sn 3.07, 1 Ac 3.17
La2 0.6584 0.1584 0.7332  1 Sn 3.07, 1 Ac 3.17
La3 0.1584 0.0747 0.7332  1 Sn 3.07, 1 Ac 3.17
La4 0.5747 0.6584 0.7332  1 Sn 3.07, 1 Ac 3.17
La5 0.9253 0.4253 0.2668  1 Sn 3.07, 1 Ac 3.17
La6 0.3416 0.8416 0.2668  1 Sn 3.07, 1 Ac 3.17
La7 0.8416 0.9253 0.2668  1 Sn 3.07, 1 Ac 3.17
La8 0.4253 0.3416 0.2668  1 Sn 3.07, 1 Ac 3.17
La9 0.5000 0.5000 0.0000  6 Sn 3.65-3.70, 8 La 3.80
La10 0.0000 0.0000 0.0000  6 Sn 3.65-3.70, 8 La 3.80
Sn1 0.6072 0.1072 0.0000  1 Sn 2.76, 2 La 3.07
Sn2 0.3928 0.8928 0.0000  1 Sn 2.76, 2 La 3.07
Sn3 0.8928 0.6072 0.0000  1 Sn 2.76, 2 La 3.07
Sn4 0.1072 0.3928 0.0000  1 Sn 2.76, 2 La 3.07
Sn5 0.2500 0.2500 0.5000  10 La 3.65-3.68
Sn6 0.7500 0.7500 0.5000  10 La 3.65-3.68

* Fermi-level density of states: 20.91 states/eV per cell
* distance to the lowest polymorph of the same formula: 251 meV/atom
* energy of formation: -335 meV/atom
* space group: I4/mcm, No. 140
* total energy: -87.54 eV per cell

***

Record 7
The following is a DFT calculation (PBE) of crystalline CaRuRh at its relaxed geometry.

Unit cell a=4.4525 b=7.2011 c=7.2450 alpha=90.00 beta=90.00 gamma=90.00
With the nearest neighbours (Å) after each atom.
Element x y z (fractional)
Ru1 0.0000 0.8398 0.5285  1 Ru 2.31, 1 Rh 2.57
Ru2 0.0000 0.1602 0.5285  1 Ru 2.31, 1 Rh 2.57
Ru3 0.5000 0.3398 0.0285  1 Ru 2.31, 1 Rh 2.57
Ru4 0.5000 0.6602 0.0285  1 Ru 2.31, 1 Rh 2.57
Ca1 0.0000 0.5000 0.2585  6 Ru 3.01-3.13, 6 Rh 3.23-3.26
Ca2 0.5000 0.0000 0.7585  6 Ru 3.01-3.13, 6 Rh 3.23-3.26
Ca3 0.0000 0.0000 0.1274  6 Rh 3.02-3.06, 2 Ru 3.13
Ca4 0.5000 0.5000 0.6274  6 Rh 3.02-3.06, 2 Ru 3.13
Rh1 0.0000 0.3122 0.8495  3 Ru 2.57-2.58, 1 Rh 2.71
Rh2 0.0000 0.6878 0.8495  3 Ru 2.57-2.58, 1 Rh 2.71
Rh3 0.5000 0.8122 0.3495  3 Ru 2.57-2.58, 1 Rh 2.71
Rh4 0.5000 0.1878 0.3495  3 Ru 2.57-2.58, 1 Rh 2.71

* Fermi-level density of states: 12.58 states/eV per cell
* distance to the lowest polymorph of the same formula: 91 meV/atom
* energy of formation: -67 meV/atom
* space group: Imm2, No. 44
* total energy: -75.32 eV per cell

***

Record 8
The following is a DFT calculation (PBE) of crystalline Tl2CdO at its relaxed geometry.

Unit cell a=7.5076 b=7.5076 c=6.3978 alpha=54.07 beta=54.07 gamma=90.00
With the nearest neighbours (Å) after each atom.
Element x y z (fractional)
Tl1 0.5469 0.1250 0.2500  2 O 2.45
Tl2 0.2031 0.6250 0.2500  2 O 2.45
Tl3 0.3750 0.4531 0.7500  2 O 2.45
Tl4 0.8750 0.7969 0.7500  2 O 2.45
O1 0.5000 0.5000 0.0000  4 Tl 2.45
O2 0.2500 0.7500 0.5000  4 Tl 2.45
Cd1 0.0000 0.0000 0.0000  8 Tl 3.22-3.52, 2 O 3.57
Cd2 0.7500 0.2500 0.5000  8 Tl 3.22-3.52, 2 O 3.57

* Fermi-level density of states: 0.55 states/eV per cell
* distance to the lowest polymorph of the same formula: 0 meV/atom
* space group: I-42d, No. 122
* total energy: -23.19 eV per cell

***

Size of the total moment: 0.5 0.0 0.0 0.0 0.0 0.0 0.0 0.0 (Bohr magnetons per cell)